GGA-PBE LiInPb, relaxed; DOS at the Fermi energy = 3.078 states/eV/cell
1.0
-1.143 -2.334 -3.417
3.512 1.327 -2.082
4.051 -6.200 2.881
Pb Li In
2 2 2
Direct
0.000 0.500 0.866 Pb
0.500 0.000 0.134 Pb
0.000 0.500 0.239 Li
0.500 0.000 0.761 Li
0.000 0.000 0.500 In
0.500 0.500 0.500 In


GGA-PBE MnCoOs, relaxed; DOS at the Fermi energy = 3.850 states/eV/cell; distance to the lowest polymorph of the same formula = 2 meV/atom
1.0
-3.995 -0.329 -0.388
1.858 -1.647 3.171
-0.308 2.189 1.317
Co Mn Os
1 1 1
Direct
0.000 0.000 0.167 Co
0.667 0.333 0.167 Mn
0.333 0.667 0.667 Os


GGA-PBE ZrBeRh, relaxed; DOS at the Fermi energy = 11.369 states/eV/cell; distance to the lowest polymorph of the same formula = 0 meV/atom
1.0
-1.228 1.112 2.876
-5.687 -3.430 -1.102
4.547 -9.322 5.547
Zr Be Rh
6 6 6
Direct
0.000 0.248 0.954 Zr
0.000 0.752 0.046 Zr
0.000 0.248 0.546 Zr
0.000 0.752 0.454 Zr
0.000 0.148 0.250 Zr
0.000 0.852 0.750 Zr
0.500 0.051 0.088 Be
0.500 0.949 0.912 Be
0.500 0.051 0.412 Be
0.500 0.949 0.588 Be
0.000 0.554 0.250 Be
0.000 0.446 0.750 Be
0.500 0.424 0.127 Rh
0.500 0.576 0.873 Rh
0.500 0.424 0.373 Rh
0.500 0.576 0.627 Rh
0.500 0.802 0.250 Rh
0.500 0.198 0.750 Rh


GGA-PBE Nd4Ho3Tm4, relaxed; DOS at the Fermi energy = 13.873 states/eV/cell; distance to the lowest polymorph of the same formula = 0 meV/atom
1.0
3.539 0.078 0.472
-0.009 4.968 -0.749
2.681 0.528 20.332
Nd Ho Tm
4 3 4
Direct
0.729 0.090 0.180 Nd
0.180 0.273 0.547 Nd
0.820 0.727 0.453 Nd
0.271 0.910 0.820 Nd
0.090 0.636 0.272 Ho
0.910 0.364 0.728 Ho
0.000 0.000 0.000 Ho
0.367 0.544 0.089 Tm
0.633 0.456 0.911 Tm
0.543 0.820 0.639 Tm
0.457 0.181 0.361 Tm


no.,ΔE_f (meV/atom)
1,-109
2,87
3,-652
4,21